CaCu2As: relaxed, GGA-PBEsol.

The total energy is -15.985 eV/cell. The formation energy comes out at -0.1 eV/f.u.

The structure belongs to space group P4/mmm (No. 123); the cell edges are 3.4373, 3.4373 and 5.8469 Å and the angles 90.00°, 90.00° and 90.00°. The inequivalent atoms are Ca at (0.0000, 0.0000, 0.0000), Cu at (0.5000, 0.5000, 0.2907) and As at (0.0000, 0.0000, 0.5000).